DFT (PBE+U) results for a geometry-optimized HgPb2WF structure.

Computed properties:
total DFT energy (no corrections)	-2.58	eV per atom

Structure (POSCAR):
```
HgPb2WF
1.0
-3.333 4.639 0.686
-3.551 -2.001 -3.726
-2.881 -2.690 4.191
Pb Hg W F
2 1 1 1
Cartesian
-1.441 -1.345 2.095
-1.667 2.320 0.343
0.000 0.000 0.000
-1.776 -1.000 -1.863
-4.883 -0.026 0.576
```